Entry 1:
! TbDyPd2 GGA-PBE relaxed; values from VASP
&SYSTEM
  ibrav = 0, nat = 8, ntyp = 3
/
ATOMIC_SPECIES
Tb 158.93 Tb.upf
Dy 162.50 Dy.upf
Pd 106.42 Pd.upf
CELL_PARAMETERS angstrom
4.4798 0.0000 0.0000
0.0000 6.9198 0.0000
0.0000 0.0000 5.6944
ATOMIC_POSITIONS crystal
Tb 0.0000 0.0692 0.0000
Tb 0.5000 0.9308 0.5000
Dy 0.0000 0.5693 0.7818
Dy 0.5000 0.4307 0.2818
Pd 0.0000 0.2097 0.4868
Pd 0.0000 0.7051 0.2952
Pd 0.5000 0.2949 0.7952
Pd 0.5000 0.7903 0.9868
! **DFT formation energy**: -0.92 eV/atom



Entry 2:
! HfGeMo GGA-PBE relaxed; values from VASP
&SYSTEM
  ibrav = 0, nat = 12, ntyp = 3
/
ATOMIC_SPECIES
Hf 178.49 Hf.upf
Ge 72.64 Ge.upf
Mo 95.94 Mo.upf
CELL_PARAMETERS angstrom
7.0067 0.0000 0.0000
0.0000 3.5427 0.0000
0.0000 0.0000 8.3469
ATOMIC_POSITIONS crystal
Hf 0.0478 0.2500 0.1665
Hf 0.4522 0.7500 0.6665
Hf 0.5478 0.2500 0.3335
Hf 0.9522 0.7500 0.8335
Ge 0.2472 0.7500 0.3615
Ge 0.2528 0.2500 0.8615
Ge 0.7472 0.7500 0.1385
Ge 0.7528 0.2500 0.6385
Mo 0.1321 0.2500 0.5624
Mo 0.3679 0.7500 0.0624
Mo 0.6321 0.2500 0.9376
Mo 0.8679 0.7500 0.4376
! **Final energy**: -108.28 eV per cell



Entry 3:
! DyEr2Tl3AgPd2 GGA-PBE relaxed; values from VASP
&SYSTEM
  ibrav = 0, nat = 9, ntyp = 5
/
ATOMIC_SPECIES
Dy 162.50 Dy.upf
Er 167.26 Er.upf
Tl 204.38 Tl.upf
Ag 107.87 Ag.upf
Pd 106.42 Pd.upf
CELL_PARAMETERS angstrom
3.7385 0.0000 0.0000
0.0000 6.8573 3.9571
0.0000 -6.8573 3.9571
ATOMIC_POSITIONS crystal
Dy 0.0000 0.0000 0.0000
Er 0.0000 0.4051 0.8107
Er 0.0000 0.8107 0.4051
Tl 0.5000 0.1302 0.4051
Tl 0.5000 0.4051 0.1302
Tl 0.5000 0.6799 0.6799
Ag 0.0000 0.4058 0.4058
Pd 0.5000 0.0722 0.7371
Pd 0.5000 0.7371 0.0722
! **Final energy**: -38.88 eV per cell



Entry 4:
! YPuHf GGA-PBE relaxed; values from VASP
&SYSTEM
  ibrav = 0, nat = 3, ntyp = 3
/
ATOMIC_SPECIES
Y 88.91 Y.upf
Pu 244.00 Pu.upf
Hf 178.49 Hf.upf
CELL_PARAMETERS angstrom
0.0000 3.5039 3.5039
3.5039 0.0000 3.5039
3.5039 3.5039 0.0000
ATOMIC_POSITIONS crystal
Y 0.0000 0.0000 0.0000
Pu 0.5000 0.5000 0.5000
Hf 0.7500 0.7500 0.7500
! **DFT formation energy**: 0.87 eV/atom



Entry 5:
! PrGd2NiPt2Pb3 GGA-PBE relaxed; values from VASP
&SYSTEM
  ibrav = 0, nat = 9, ntyp = 5
/
ATOMIC_SPECIES
Pr 140.91 Pr.upf
Gd 157.25 Gd.upf
Ni 58.69 Ni.upf
Pt 195.08 Pt.upf
Pb 207.20 Pb.upf
CELL_PARAMETERS angstrom
3.9456 0.0000 0.0000
0.0000 6.8015 3.9068
0.0000 -6.8015 3.9068
ATOMIC_POSITIONS crystal
Pr 0.0000 0.0000 0.0000
Gd 0.0000 0.4066 0.8125
Gd 0.0000 0.8125 0.4066
Ni 0.0000 0.4113 0.4113
Pt 0.5000 0.0751 0.7342
Pt 0.5000 0.7342 0.0751
Pb 0.5000 0.1570 0.4086
Pb 0.5000 0.4086 0.1570
Pb 0.5000 0.6570 0.6570
! **Final energy**: -49.57 eV per cell



Entry 6:
! ZrAs GGA-PBE relaxed; values from VASP
&SYSTEM
  ibrav = 0, nat = 2, ntyp = 2
/
ATOMIC_SPECIES
Zr 91.22 Zr.upf
As 74.92 As.upf
CELL_PARAMETERS angstrom
2.3831 -2.3941 0.0000
2.3831 2.3941 0.0000
0.0000 0.0000 3.3335
ATOMIC_POSITIONS crystal
Zr 0.0000 0.0000 0.0000
As 0.5000 0.5000 0.5000
! **Final energy**: -14.84 eV per cell